Entry 1:
Density functional theory data (SCAN) for MgSiIr2 at its PBEsol-relaxed geometry.

Computed properties:
Raw total energy = -39.219 eV/atom
Space group = No. 35
Energy relative to the elements, uncorrected = 0.0776 eV/atom
D(E_F) = 0.72 states/eV/atom

Cell lengths 2.778, 2.778, 8.707 Å; angles 90.00, 90.00, 118.08 degrees
Fractional positions:
Ir  0.500  0.500  0.748
Ir  0.000  0.000  0.018
Si  0.500  0.500  0.234
Mg  0.000  0.000  0.501

=====

Entry 2:
Density functional theory data (SCAN) for Sc2TlTe at its PBEsol-relaxed geometry.

Computed properties:
Raw total energy = -35.048 eV/atom
Space group = No. 225
Energy relative to the lowest polymorph listed for this composition = 0.2836 eV/atom
Energy relative to the elements, uncorrected = -0.5269 eV/atom
D(E_F) = 0.89 states/eV/atom

Cell lengths 5.049, 5.049, 5.049 Å; angles 60.00, 60.00, 60.00 degrees
Fractional positions:
Sc  0.250  0.250  0.250
Sc  0.750  0.750  0.750
Tl  0.500  0.500  0.500
Te  0.000  0.000  0.000

=====

Entry 3:
Density functional theory data (SCAN) for Zn2AgAu2 at its PBEsol-relaxed geometry.

Computed properties:
Energy of formation = -1.01 eV per formula unit
Raw total energy = -39.544 eV/atom
Space group = No. 127
Energy relative to the lowest polymorph listed for this composition = 0.0000 eV/atom
D(E_F) = 0.28 states/eV/atom

Cell lengths 2.912, 7.441, 7.441 Å; angles 90.00, 90.00, 90.00 degrees
Fractional positions:
Zn  0.500  0.160  0.660
Zn  0.500  0.340  0.160
Zn  0.500  0.660  0.840
Zn  0.500  0.840  0.340
Au  0.000  0.361  0.861
Au  0.000  0.639  0.139
Au  0.000  0.139  0.361
Au  0.000  0.861  0.639
Ag  0.000  0.500  0.500
Ag  0.000  0.000  0.000

=====

Entry 4:
Density functional theory data (SCAN) for AlRh5 at its PBEsol-relaxed geometry.

Computed properties:
Energy of formation = -2.14 eV per formula unit
Raw total energy = -29.791 eV/atom
Space group = No. 123
D(E_F) = 1.05 states/eV/atom

Cell lengths 2.722, 2.722, 10.862 Å; angles 90.00, 90.00, 90.00 degrees
Fractional positions:
Rh  0.000  0.000  0.500
Rh  0.500  0.500  0.331
Rh  0.000  0.000  0.844
Rh  0.000  0.000  0.156
Rh  0.500  0.500  0.669
Al  0.500  0.500  0.000

=====

no.,calculated density (g cm⁻³)
1,12.23
2,7.70
3,13.03
4,11.18